No. 1
Compound: K4LiPt
Source: Alexandria via LeMat-Bulk
Functional: PBE
Structure: optimized geometry

a b c (Å): 6.956 6.956 6.956
angles (deg): 60.00 60.00 60.00
Fractional coordinates of all 6 atoms:
K  0.377  0.377  0.377
K  0.377  0.377  0.869
K  0.377  0.869  0.377
K  0.869  0.377  0.377
Li  0.000  0.000  0.000
Pt  0.750  0.750  0.750

=====

No. 2
Compound: KLiPt2
Source: Alexandria via LeMat-Bulk
Functional: PBE
Structure: optimized geometry

a b c (Å): 2.905 4.847 5.073
angles (deg): 90.00 90.00 90.00
Fractional coordinates of all 4 atoms:
K  0.000  0.000  0.000
Li  0.500  0.500  0.000
Pt  0.000  0.500  0.500
Pt  0.500  0.000  0.500

Results
* excess energy over the best structure of this formula in the dataset: 0.1607 eV per atom

=====

No. 3
Compound: KRb2LiPt
Source: Alexandria via LeMat-Bulk
Functional: PBE
Structure: optimized geometry

a b c (Å): 6.638 6.638 4.773
angles (deg): 90.00 90.00 90.00
Fractional coordinates of all 5 atoms:
K  0.000  0.000  0.000
Rb  0.000  0.500  0.500
Rb  0.500  0.000  0.500
Li  0.500  0.500  0.500
Pt  0.500  0.500  0.000

=====

Calculated values (eV/atom) of energy of formation for the records, taken in order: 0.506; -0.008; 0.127.